Record 1
Hf3NbIr PBE-GGA relaxed; symmetry = No. 221; polymorph energy (0 for the lowest one) = 735.7 meV per atom; energy = -42.609 eV per cell; E_form = 6.18 eV per formula unit; theoretical density = 11.48 g/cm³
1.0
-1.558 1.197 -4.504
-4.477 -1.705 1.095
-1.296 4.451 1.631
Nb Ir Hf
1 1 3
Direct
0.000 0.000 0.000
0.500 0.500 0.500
0.000 0.500 0.000
0.000 0.000 0.500
0.500 0.000 0.000


Record 2
HfNb4Ir5 PBE-GGA relaxed; symmetry = No. 123; energy = -100.268 eV per cell; E_form = -5.73 eV per formula unit; theoretical density = 15.31 g/cm³
1.0
-0.305 1.132 2.675
-2.668 -1.174 0.193
7.560 -15.933 7.604
Hf Nb Ir
1 4 5
Direct
0.000 0.000 0.000
0.000 0.000 0.200
0.000 0.000 0.400
0.000 0.000 0.600
0.000 0.000 0.800
0.500 0.500 0.100
0.500 0.500 0.300
0.500 0.500 0.500
0.500 0.500 0.700
0.500 0.500 0.900


Record 3
Hf3NbIr PBE-GGA relaxed; symmetry = No. 221; polymorph energy (0 for the lowest one) = 0.0 meV per atom; energy = -46.287 eV per cell; E_form = 2.50 eV per formula unit; theoretical density = 11.13 g/cm³
1.0
-0.594 -3.888 3.033
3.474 -2.497 -2.521
3.498 1.820 3.018
Nb Ir Hf
1 1 3
Direct
0.500 0.500 0.500
0.000 0.000 0.000
0.000 0.500 0.000
0.000 0.000 0.500
0.500 0.000 0.000


Record 4
HfNb2Ir PBE-GGA relaxed; symmetry = No. 122; polymorph energy (0 for the lowest one) = 334.5 meV per atom; energy = -77.135 eV per cell; E_form = 0.39 eV per formula unit; theoretical density = 11.72 g/cm³
1.0
-5.887 -4.831 0.872
1.975 -1.083 7.327
-3.530 -0.908 4.827
Nb Ir Hf
4 2 2
Direct
0.662 0.125 0.250
0.088 0.625 0.250
0.375 0.338 0.750
0.875 0.912 0.750
0.000 0.000 0.000
0.750 0.250 0.500
0.500 0.500 0.000
0.250 0.750 0.500


Record 5
HfNb2Ir2 PBE-GGA relaxed; symmetry = No. 127; polymorph energy (0 for the lowest one) = 104.4 meV per atom; energy = -98.723 eV per cell; E_form = -1.55 eV per formula unit; theoretical density = 14.00 g/cm³
1.0
-2.377 4.317 6.108
1.845 -5.873 4.869
2.664 1.070 0.281
Nb Ir Hf
4 4 2
Direct
0.350 0.850 0.000
0.850 0.650 0.000
0.650 0.150 0.000
0.150 0.350 0.000
0.146 0.646 0.500
0.646 0.854 0.500
0.854 0.354 0.500
0.354 0.146 0.500
0.000 0.000 0.000
0.500 0.500 0.000


Record 6
HfNbIr PBE-GGA relaxed; symmetry = No. 107; energy = -30.377 eV per cell; E_form = -1.49 eV per formula unit; theoretical density = 14.29 g/cm³
1.0
-1.617 -2.276 -1.734
-1.706 -0.833 2.683
-1.822 4.922 -1.645
Nb Ir Hf
1 1 1
Direct
0.009 0.009 0.017
0.665 0.665 0.330
0.326 0.326 0.653


Record 7
HfNb2Ir5 PBE-GGA relaxed; symmetry = No. 55; energy = -158.290 eV per cell; E_form = -4.75 eV per formula unit; theoretical density = 17.09 g/cm³
1.0
4.019 0.000 0.000
0.000 5.667 0.000
0.000 0.000 11.312
Hf Nb Ir
2 4 10
Direct
0.000 0.000 0.500
0.000 0.500 0.000
0.500 0.294 0.361
0.500 0.706 0.639
0.500 0.206 0.861
0.500 0.794 0.139
0.500 0.265 0.123
0.500 0.735 0.877
0.500 0.765 0.377
0.500 0.235 0.623
0.000 0.978 0.751
0.000 0.022 0.249
0.000 0.478 0.749
0.000 0.522 0.251
0.000 0.500 0.500
0.000 0.000 0.000


Record 8
HfNb3Ir PBE-GGA relaxed; symmetry = No. 221; polymorph energy (0 for the lowest one) = 0.0 meV per atom; energy = -44.932 eV per cell; E_form = 4.09 eV per formula unit; theoretical density = 9.39 g/cm³
1.0
4.860 0.000 0.000
0.000 4.860 0.000
0.000 0.000 4.860
Nb Ir Hf
3 1 1
Direct
0.000 0.500 0.000
0.000 0.000 0.500
0.500 0.000 0.000
0.000 0.000 0.000
0.500 0.500 0.500


Record 9
HfNb2Ir PBE-GGA relaxed; symmetry = No. 225; polymorph energy (0 for the lowest one) = 0.0 meV per atom; energy = -39.906 eV per cell; E_form = -0.95 eV per formula unit; theoretical density = 13.21 g/cm³
1.0
0.000 3.270 3.270
3.270 0.000 3.270
3.270 3.270 0.000
Nb Ir Hf
2 1 1
Direct
0.250 0.250 0.250
0.750 0.750 0.750
0.500 0.500 0.500
0.000 0.000 0.000


Record 10
HfNbIr3 PBE-GGA relaxed; symmetry = No. 221; polymorph energy (0 for the lowest one) = 0.0 meV per atom; energy = -41.665 eV per cell; E_form = 4.94 eV per formula unit; theoretical density = 13.32 g/cm³
1.0
-3.197 -0.962 -3.348
-2.535 -2.475 3.132
-2.390 3.912 1.158
Nb Ir Hf
1 3 1
Direct
0.000 0.000 0.000
0.000 0.500 0.000
0.000 0.000 0.500
0.500 0.000 0.000
0.500 0.500 0.500


Record 11
HfNpNbIr PBE-GGA relaxed; symmetry = No. 216; energy = -41.605 eV per cell; E_form = 0.22 eV per formula unit; theoretical density = 15.64 g/cm³
1.0
-2.456 0.915 -3.927
-4.719 -0.109 0.088
-2.461 4.012 -0.364
Np Nb Ir Hf
1 1 1 1
Direct
0.500 0.500 0.500
0.750 0.750 0.750
0.000 0.000 0.000
0.250 0.250 0.250


Record 12
HfNb2IrPd PBE-GGA relaxed; symmetry = No. 123; energy = -38.434 eV per cell; E_form = 5.71 eV per formula unit; theoretical density = 10.09 g/cm³
1.0
-4.265 -0.586 1.893
2.047 -2.115 3.956
0.342 4.208 2.072
Nb Ir Hf Pd
2 1 1 1
Direct
0.000 0.000 0.500
0.500 0.000 0.000
0.000 0.500 0.000
0.500 0.500 0.500
0.000 0.000 0.000